The following is a PBE with a Hubbard U calculation of MgScMn2O4 after structural relaxation, from Alexandria.

```
MgScMn2O4
1.0
-3.1330 3.1531 4.4625
3.1330 -3.1531 4.4625
3.1330 3.1531 -4.4625
Mg Sc Mn O
2 2 4 8
direct
0.5000 0.0000 0.0000
0.5000 0.5000 0.5000
0.0000 0.0000 0.0000
0.5000 0.0000 0.5000
0.0000 0.0000 0.5000
0.0000 0.5000 0.0000
0.0000 0.5000 0.5000
0.5000 0.5000 0.0000
0.2593 0.2453 0.0140
0.2598 0.2531 0.4933
0.2598 0.7666 0.0067
0.2686 0.7547 0.5140
0.7314 0.2453 0.4860
0.7402 0.2334 0.9933
0.7402 0.7469 0.5067
0.7407 0.7547 0.9860
```

The total moment comes out at 18.455 Bohr magnetons per cell. Its density of states at the Fermi level is 0.9 states/eV/f.u. As for the total energy: -7.512 eV/atom. As for the space group: Imma (74).